Below is a relaxed structure of La4PtAu, with properties calculated at the PBE level.

a = 6.212 Å, b = 6.212 Å, c = 6.212 Å
α = 60.00°, β = 60.00°, γ = 60.00°
Positions (direct):
La 0.376 0.376 0.873
La 0.376 0.376 0.376
La 0.376 0.873 0.376
La 0.873 0.376 0.376
Pt 0.750 0.750 0.750
Au 0.000 0.000 0.000

## Properties
- space group = F-43m
- DFT formation energy (eV/atom) = 0.24

***

Below is a relaxed structure of Y4InAuO, with properties calculated at the PBE level.

a = 6.653 Å, b = 6.664 Å, c = 8.375 Å
α = 90.00°, β = 113.41°, γ = 90.00°
Positions (direct):
Au 0.122 0.250 0.244
Au 0.878 0.750 0.756
Y 0.582 0.250 0.163
Y 0.063 0.750 0.126
Y 0.500 0.000 0.500
Y 0.000 0.000 0.500
Y 0.000 0.500 0.500
Y 0.500 0.500 0.500
Y 0.418 0.750 0.837
Y 0.937 0.250 0.874
In 0.385 0.250 0.770
In 0.615 0.750 0.230
O 0.258 0.750 0.515
O 0.742 0.250 0.485

## Properties
- space group = Cmcm
- formation energy from raw total energies (eV per formula unit) = -8.419

***

Below is a relaxed structure of CaNi3Hg, with properties calculated at the PBE level.

a = 4.789 Å, b = 4.789 Å, c = 4.789 Å
α = 90.00°, β = 90.00°, γ = 90.00°
Positions (direct):
Ni 0.000 0.500 0.000
Ni 0.000 0.000 0.500
Ni 0.500 0.000 0.000
Hg 0.000 0.000 0.000
Ca 0.500 0.500 0.500

## Properties
- space group = Pm-3m
- DFT formation energy (eV/atom) = 0.72

***

Below is a relaxed structure of Er5Co4Ru, with properties calculated at the PBE level.

a = 3.341 Å, b = 3.341 Å, c = 16.409 Å
α = 90.00°, β = 90.00°, γ = 90.00°
Positions (direct):
Co 0.000 0.000 0.796
Co 0.000 0.000 0.401
Co 0.000 0.000 0.599
Co 0.000 0.000 0.204
Er 0.500 0.500 0.898
Er 0.500 0.500 0.102
Er 0.500 0.500 0.500
Er 0.500 0.500 0.699
Er 0.500 0.500 0.301
Ru 0.000 0.000 0.000

## Properties
- space group = P4/mmm
- DFT formation energy (eV/atom) = -0.24

***

Below is a relaxed structure of Y4GaNi, with properties calculated at the PBE level.

a = 6.107 Å, b = 6.752 Å, c = 8.047 Å
α = 90.00°, β = 109.08°, γ = 90.00°
Positions (direct):
Ga 0.795 0.750 0.951
Ga 0.205 0.250 0.049
Y 0.586 0.250 0.882
Y 0.008 0.501 0.726
Y 0.560 0.250 0.402
Y 0.992 0.001 0.274
Y 0.992 0.499 0.274
Y 0.008 0.999 0.726
Y 0.414 0.750 0.118
Y 0.440 0.750 0.598
Ni 0.239 0.250 0.561
Ni 0.761 0.750 0.439

## Properties
- space group = P2_1/m
- DFT formation energy (eV/atom) = -0.32

***

Below is a relaxed structure of K4Te4As, with properties calculated at the PBE level.

a = 9.058 Å, b = 9.058 Å, c = 9.058 Å
α = 79.75°, β = 126.08°, γ = 126.08°
Positions (direct):
K 0.500 0.000 0.500
K 0.000 0.693 0.693
K 0.000 0.307 0.307
K 0.500 0.500 0.000
Te 0.624 0.930 0.930
Te 0.000 0.070 0.695
Te 0.000 0.695 0.070
Te 0.376 0.305 0.305
As 0.000 0.000 0.000

## Properties
- space group = I-42m
- formation energy from raw total energies (eV per formula unit) = -5.670